An optimized crystal structure of Ho4CdPtRh2, computed with GGA-PBE.

```
Ho4CdPtRh2
1.0
2.4751 1.4290 8.1028
-2.4751 1.4290 8.1028
0.0000 -2.8580 8.1028
Ho Cd Pt Rh
4 1 1 2
Direct
0.1198 0.1198 0.1198
0.3706 0.3706 0.3706
0.6294 0.6294 0.6294
0.8802 0.8802 0.8802
0.5000 0.5000 0.5000
0.0000 0.0000 0.0000
0.2477 0.2477 0.2477
0.7523 0.7523 0.7523
```

Results
crystal system	trigonal
energy of formation from the pure elements	-0.815	eV/atom


An optimized crystal structure of Ba2Ca2HPb2, computed with GGA-PBE.

```
Ba2Ca2HPb2
1.0
-2.5299 2.5299 9.1504
2.5299 -2.5299 9.1504
2.5299 2.5299 -9.1504
Ba Ca H Pb
2 2 1 2
Direct
0.1745 0.1745 0.0000
0.8255 0.8255 0.0000
0.0000 0.5000 0.5000
0.5000 0.0000 0.5000
0.0000 0.0000 0.0000
0.3772 0.3772 0.0000
0.6228 0.6228 0.0000
```

Results
crystal system	tetragonal


| no. | total DFT energy (no corrections) (eV/atom) | total moment (μB/f.u.) |
| --- | --- | --- |
| 1 | -5.8116 | 0.0 |
| 2 | -3.2161 | 0.0 |